A relaxed structure of Sc3TlC, computed with GGA-PBE.

Summary:
Offset from the most stable computed form (meV/atom): 0.0
Volume (Å³ per atom): 18.94
DFT total energy (eV/atom): -6.737
Magnetic moment (μB per formula unit): 0.000
Crystal system: cubic
ΔH_f (0 K) (eV per atom): -0.620

a = 4.5578 Å, b = 4.5578 Å, c = 4.5578 Å
α = 90.00°, β = 90.00°, γ = 90.00°
Closest atoms and distances in Å follow each position.
Space group Pm-3m (No. 221)
Symmetry-distinct sites (fractional):
Sc 0.0000 0.0000 0.5000 (multiplicity 3)  2 C 2.28
Tl 0.5000 0.5000 0.5000 (multiplicity 1)  12 Sc 3.22
C 0.0000 0.0000 0.0000 (multiplicity 1)  6 Sc 2.28